(1)
## Rb2CoCuIr (PBE)

Data for a geometry-optimized Rb2CoCuIr structure.

```
data_Rb2CoCuIr
_cell_length_a 6.594
_cell_length_b 6.594
_cell_length_c 4.452
_cell_angle_alpha 90.00
_cell_angle_beta 90.00
_cell_angle_gamma 90.00
_space_group_name_H-M_alt 'P 4/m m m'
_space_group_IT_number 123
_space_group_name_Hall '-P 4 2'
loop_
_atom_site_label
_atom_site_fract_x
_atom_site_fract_y
_atom_site_fract_z
Rb1 0.000 0.500 0.000
Co1 0.000 0.000 0.500
Cu1 0.500 0.500 0.500
Ir1 0.000 0.000 0.000
```

**Fermi-level density of states**: 5.93 states/eV/f.u.
**Raw total energy**: -3.284 eV/atom

(2)
## CoCuIrSe2 (PBE)

Data for a geometry-optimized CoCuIrSe2 structure.

```
data_CoCuIrSe2
_cell_length_a 4.578
_cell_length_b 4.578
_cell_length_c 4.676
_cell_angle_alpha 90.00
_cell_angle_beta 90.00
_cell_angle_gamma 90.00
_space_group_name_H-M_alt 'P 4/m m m'
_space_group_IT_number 123
_space_group_name_Hall '-P 4 2'
loop_
_atom_site_label
_atom_site_fract_x
_atom_site_fract_y
_atom_site_fract_z
Co1 0.000 0.000 0.000
Cu1 0.500 0.500 0.500
Ir1 0.500 0.500 0.000
Se1 0.000 0.500 0.500
```

**Fermi-level density of states**: 9.06 states/eV/f.u.
**Uncorrected formation energy**: 1.2766 eV per atom

(3)
## CoCuSiIr (PBE)

Data for a geometry-optimized CoCuSiIr structure.

```
data_CoCuSiIr
_cell_length_a 5.784
_cell_length_b 5.784
_cell_length_c 5.784
_cell_angle_alpha 90.00
_cell_angle_beta 90.00
_cell_angle_gamma 90.00
_space_group_name_H-M_alt 'F -4 3 m'
_space_group_IT_number 216
_space_group_name_Hall 'F -4 2 3'
loop_
_atom_site_label
_atom_site_fract_x
_atom_site_fract_y
_atom_site_fract_z
Co1 0.000 0.000 0.000
Cu1 0.250 0.250 0.750
Si1 0.250 0.250 0.250
Ir1 0.000 0.000 0.500
```

**Fermi-level density of states**: 2.83 states/eV/f.u.
**Uncorrected formation energy**: -0.2808 eV per atom

(4)
## Co2CuTeIr (PBE)

Data for a geometry-optimized Co2CuTeIr structure.

```
data_Co2CuTeIr
_cell_length_a 4.301
_cell_length_b 4.301
_cell_length_c 4.728
_cell_angle_alpha 90.00
_cell_angle_beta 90.00
_cell_angle_gamma 90.00
_space_group_name_H-M_alt 'P 4/m m m'
_space_group_IT_number 123
_space_group_name_Hall '-P 4 2'
loop_
_atom_site_label
_atom_site_fract_x
_atom_site_fract_y
_atom_site_fract_z
Co1 0.000 0.500 0.000
Cu1 0.000 0.000 0.000
Te1 0.000 0.000 0.500
Ir1 0.500 0.500 0.500
```

**Fermi-level density of states**: 10.09 states/eV/f.u.
**Uncorrected formation energy**: 1.3518 eV per atom

(5)
## CoCuIrW (PBE)

Data for a geometry-optimized CoCuIrW structure.

```
data_CoCuIrW
_cell_length_a 6.008
_cell_length_b 6.008
_cell_length_c 6.008
_cell_angle_alpha 90.00
_cell_angle_beta 90.00
_cell_angle_gamma 90.00
_space_group_name_H-M_alt 'F -4 3 m'
_space_group_IT_number 216
_space_group_name_Hall 'F -4 2 3'
loop_
_atom_site_label
_atom_site_fract_x
_atom_site_fract_y
_atom_site_fract_z
Co1 0.000 0.000 0.000
Cu1 0.250 0.250 0.750
Ir1 0.000 0.000 0.500
W1 0.250 0.250 0.250
```

**Fermi-level density of states**: 1.69 states/eV/f.u.
**Raw total energy**: -8.207 eV/atom

(6)
## YCoCu2Ir (PBE)

Data for a geometry-optimized YCoCu2Ir structure.

```
data_YCoCu2Ir
_cell_length_a 4.693
_cell_length_b 4.693
_cell_length_c 4.392
_cell_angle_alpha 90.00
_cell_angle_beta 90.00
_cell_angle_gamma 90.00
_space_group_name_H-M_alt 'P 4/m m m'
_space_group_IT_number 123
_space_group_name_Hall '-P 4 2'
loop_
_atom_site_label
_atom_site_fract_x
_atom_site_fract_y
_atom_site_fract_z
Y1 0.000 0.000 0.000
Co1 0.000 0.000 0.500
Cu1 0.000 0.500 0.000
Ir1 0.500 0.500 0.500
```

**Fermi-level density of states**: 4.91 states/eV/f.u.
**Raw total energy**: -4.279 eV/atom

(7)
## ZrCoCuIr (PBE)

Data for a geometry-optimized ZrCoCuIr structure.

```
data_ZrCoCuIr
_cell_length_a 6.196
_cell_length_b 6.196
_cell_length_c 6.196
_cell_angle_alpha 90.00
_cell_angle_beta 90.00
_cell_angle_gamma 90.00
_space_group_name_H-M_alt 'F -4 3 m'
_space_group_IT_number 216
_space_group_name_Hall 'F -4 2 3'
loop_
_atom_site_label
_atom_site_fract_x
_atom_site_fract_y
_atom_site_fract_z
Zr1 0.000 0.000 0.000
Co1 0.250 0.250 0.250
Cu1 0.000 0.000 0.500
Ir1 0.250 0.250 0.750
```

**Fermi-level density of states**: 5.18 states/eV/f.u.
**Raw total energy**: -7.378 eV/atom

(8)
## KCoCu2 (PBE)

Data for a geometry-optimized KCoCu2 structure.

```
data_KCoCu2
_cell_length_a 6.497
_cell_length_b 6.497
_cell_length_c 6.497
_cell_angle_alpha 90.00
_cell_angle_beta 90.00
_cell_angle_gamma 90.00
_space_group_name_H-M_alt 'F -4 3 m'
_space_group_IT_number 216
_space_group_name_Hall 'F -4 2 3'
loop_
_atom_site_label
_atom_site_fract_x
_atom_site_fract_y
_atom_site_fract_z
K1 0.000 0.000 0.000
Co1 0.250 0.250 0.750
Cu1 0.000 0.000 0.500
Cu2 0.250 0.250 0.250
```

**Fermi-level density of states**: 8.35 states/eV/f.u.
**Raw total energy**: -3.024 eV/atom

(9)
## K2CoCu (PBE)

Data for a geometry-optimized K2CoCu structure.

```
data_K2CoCu
_cell_length_a 5.651
_cell_length_b 5.651
_cell_length_c 4.045
_cell_angle_alpha 90.00
_cell_angle_beta 90.00
_cell_angle_gamma 90.00
_space_group_name_H-M_alt 'P 4/m m m'
_space_group_IT_number 123
_space_group_name_Hall '-P 4 2'
loop_
_atom_site_label
_atom_site_fract_x
_atom_site_fract_y
_atom_site_fract_z
K1 0.000 0.500 0.000
Co1 0.000 0.000 0.500
Cu1 0.500 0.500 0.500
```

**Fermi-level density of states**: 4.71 states/eV/f.u.
**Raw total energy**: -2.392 eV/atom

(10)
## KCoCu4 (PBE)

Data for a geometry-optimized KCoCu4 structure.

```
data_KCoCu4
_cell_length_a 7.189
_cell_length_b 7.189
_cell_length_c 7.189
_cell_angle_alpha 90.00
_cell_angle_beta 90.00
_cell_angle_gamma 90.00
_space_group_name_H-M_alt 'F -4 3 m'
_space_group_IT_number 216
_space_group_name_Hall 'F -4 2 3'
loop_
_atom_site_label
_atom_site_fract_x
_atom_site_fract_y
_atom_site_fract_z
K1 0.000 0.000 0.000
Co1 0.250 0.250 0.750
Cu1 0.124 0.124 0.376
```

**Fermi-level density of states**: 8.58 states/eV/f.u.
**Raw total energy**: -3.522 eV/atom

(11)
## K2CoCu (PBE)

Data for a geometry-optimized K2CoCu structure.

```
data_K2CoCu
_cell_length_a 8.404
_cell_length_b 4.638
_cell_length_c 8.654
_cell_angle_alpha 90.00
_cell_angle_beta 106.94
_cell_angle_gamma 90.00
_space_group_name_H-M_alt 'C 1 2/m 1'
_space_group_IT_number 12
loop_
_space_group_symop_operation_xyz
'x,y,z'
'-x,-y,-z'
'-x,y,-z'
'x,-y,z'
'x+1/2,y+1/2,z'
'-x+1/2,-y+1/2,-z'
'-x+1/2,y+1/2,-z'
'x+1/2,-y+1/2,z'
loop_
_atom_site_label
_atom_site_fract_x
_atom_site_fract_y
_atom_site_fract_z
K1 0.245 0.000 0.239
Co1 0.000 0.000 0.500
Cu1 0.000 0.500 0.000
```

**Fermi-level density of states**: 5.30 states/eV/f.u.
**Raw total energy**: -2.308 eV/atom

(12)
## K2CoCu (PBE)

Data for a geometry-optimized K2CoCu structure.

```
data_K2CoCu
_cell_length_a 7.429
_cell_length_b 7.429
_cell_length_c 7.429
_cell_angle_alpha 90.00
_cell_angle_beta 90.00
_cell_angle_gamma 90.00
_space_group_name_H-M_alt 'F -4 3 m'
_space_group_IT_number 216
_space_group_name_Hall 'F -4 2 3'
loop_
_atom_site_label
_atom_site_fract_x
_atom_site_fract_y
_atom_site_fract_z
K1 0.000 0.000 0.000
K2 0.250 0.250 0.250
Co1 0.250 0.250 0.750
Cu1 0.000 0.000 0.500
```

**Fermi-level density of states**: 7.60 states/eV/f.u.
**Raw total energy**: -2.404 eV/atom

(13)
## KCoCu2 (PBE)

Data for a geometry-optimized KCoCu2 structure.

```
data_KCoCu2
_cell_length_a 2.619
_cell_length_b 5.036
_cell_length_c 5.118
_cell_angle_alpha 90.00
_cell_angle_beta 90.00
_cell_angle_gamma 90.00
_space_group_name_H-M_alt 'P m m m'
_space_group_IT_number 47
loop_
_space_group_symop_operation_xyz
'x,y,z'
'-x,-y,-z'
'-x,-y,z'
'x,y,-z'
'x,-y,-z'
'-x,y,z'
'-x,y,-z'
'x,-y,z'
loop_
_atom_site_label
_atom_site_fract_x
_atom_site_fract_y
_atom_site_fract_z
K1 0.000 0.000 0.000
Co1 0.500 0.000 0.500
Cu1 0.000 0.500 0.500
Cu2 0.500 0.500 0.000
```

**Fermi-level density of states**: 3.68 states/eV/f.u.
**Raw total energy**: -3.134 eV/atom

(14)
## K2CoCu (PBE)

Data for a geometry-optimized K2CoCu structure.

```
data_K2CoCu
_cell_length_a 8.009
_cell_length_b 8.009
_cell_length_c 8.009
_cell_angle_alpha 90.00
_cell_angle_beta 90.00
_cell_angle_gamma 90.00
_space_group_name_H-M_alt 'F m -3 m'
_space_group_IT_number 225
_space_group_name_Hall '-F 4 2 3'
loop_
_atom_site_label
_atom_site_fract_x
_atom_site_fract_y
_atom_site_fract_z
K1 0.250 0.250 0.250
Co1 0.000 0.000 0.000
Cu1 0.000 0.000 0.500
```

**Fermi-level density of states**: 5.86 states/eV/f.u.
**Raw total energy**: -2.319 eV/atom

(15)
## KCoCu2 (PBE)

Data for a geometry-optimized KCoCu2 structure.

```
data_KCoCu2
_cell_length_a 2.608
_cell_length_b 5.413
_cell_length_c 10.367
_cell_angle_alpha 90.00
_cell_angle_beta 90.00
_cell_angle_gamma 90.00
_space_group_name_H-M_alt 'I m m m'
_space_group_IT_number 71
_space_group_name_Hall '-I 2 2'
loop_
_atom_site_label
_atom_site_fract_x
_atom_site_fract_y
_atom_site_fract_z
K1 0.000 0.000 0.000
Co1 0.000 0.000 0.500
Cu1 0.000 0.500 0.200
```

**Fermi-level density of states**: 3.18 states/eV/f.u.
**Raw total energy**: -3.349 eV/atom

Let's list M_tot in order: 0.430, 0.519, 0.000, 0.807, 0.266, 0.140, 0.136, 0.344, 0.505, 0.315, 0.501, 0.435, 0.397, 0.490, 0.410 μB per atom.